Density functional theory data (PBE) for a relaxed structure of Cd2AsW.

Cell: 3.243 3.243 7.418 Å, 90.00 90.00 90.00°
Fractional coordinates of all 4 atoms:
Cd (0.000, 0.000, 0.000)
Cd (0.500, 0.500, 0.289)
As (0.500, 0.500, 0.716)
W (0.000, 0.000, 0.561)

Results
Symmetry   No. 99
ΔH_f (0 K)   0.27 eV/atom

Density functional theory data (PBE) for a relaxed structure of GaSiAs2Br.

Cell: 4.954 4.954 5.062 Å, 90.00 90.00 90.00°
Fractional coordinates of all 5 atoms:
Ga (0.000, 0.000, 0.000)
Si (0.500, 0.500, 0.500)
As (0.000, 0.500, 0.000)
As (0.500, 0.000, 0.000)
Br (0.000, 0.000, 0.500)

Results
Symmetry   No. 123
Polymorph energy (0 for the lowest one)   1.84 eV/f.u.
ΔE_f (raw)   777.4 meV per atom

Density functional theory data (PBE) for a relaxed structure of Zn2Pd5Pt4.

Cell: 5.389 5.493 7.315 Å, 85.09 69.13 61.76°
Fractional coordinates of all 11 atoms:
Zn (0.082, 0.179, 0.152)
Zn (0.918, 0.821, 0.848)
Pd (0.056, 0.690, 0.187)
Pd (0.422, 0.809, 0.856)
Pd (0.500, 0.000, 0.500)
Pd (0.578, 0.191, 0.144)
Pd (0.944, 0.310, 0.813)
Pt (0.222, 0.548, 0.508)
Pt (0.443, 0.307, 0.807)
Pt (0.557, 0.693, 0.193)
Pt (0.778, 0.452, 0.492)

Results
Symmetry   No. 2
ΔH_f (0 K)   -0.12 eV/atom
Polymorph energy (0 for the lowest one)   0.00 eV/f.u.

Density functional theory data (PBE) for a relaxed structure of InGa2RhPb.

Cell: 5.403 5.403 5.124 Å, 90.00 90.00 90.00°
Fractional coordinates of all 5 atoms:
In (0.000, 0.000, 0.000)
Ga (0.000, 0.500, 0.500)
Ga (0.500, 0.000, 0.500)
Rh (0.500, 0.500, 0.000)
Pb (0.500, 0.500, 0.500)

Results
Symmetry   No. 123
ΔH_f (0 K)   0.75 eV/atom

Density functional theory data (PBE) for a relaxed structure of SrCo2P.

Cell: 4.731 4.731 4.731 Å, 124.77 124.77 81.91°
Fractional coordinates of all 4 atoms:
Sr (0.000, 0.000, 0.000)
Co (0.250, 0.750, 0.500)
Co (0.500, 0.500, 0.000)
P (0.750, 0.250, 0.500)

Results
Symmetry   No. 119
ΔH_f (0 K)   0.47 eV/atom

Density functional theory data (PBE) for a relaxed structure of TaCoRh2.

Cell: 4.715 4.715 4.715 Å, 132.13 132.13 70.02°
Fractional coordinates of all 4 atoms:
Ta (0.000, 0.000, 0.000)
Co (0.250, 0.750, 0.500)
Rh (0.500, 0.500, 0.000)
Rh (0.750, 0.250, 0.500)

Results
Symmetry   No. 119
ΔH_f (0 K)   -0.35 eV/atom

Density functional theory data (PBE) for a relaxed structure of LaSc3Cr.

Cell: 5.057 5.057 5.057 Å, 90.00 90.00 90.00°
Fractional coordinates of all 5 atoms:
La (0.000, 0.000, 0.000)
Sc (0.000, 0.500, 0.500)
Sc (0.500, 0.000, 0.500)
Sc (0.500, 0.500, 0.000)
Cr (0.500, 0.500, 0.500)

Results
Symmetry   No. 221
ΔH_f (0 K)   0.26 eV/atom
Polymorph energy (0 for the lowest one)   0.00 eV/f.u.

Density functional theory data (PBE) for a relaxed structure of Pr3HoTh2As6.

Cell: 9.530 9.530 8.513 Å, 103.15 103.15 25.84°
Fractional coordinates of all 12 atoms:
Pr (0.000, 0.000, 0.000)
Pr (0.334, 0.334, 0.666)
Pr (0.666, 0.666, 0.334)
Ho (0.000, 0.000, 0.500)
Th (0.335, 0.335, 0.170)
Th (0.665, 0.665, 0.830)
As (0.163, 0.163, 0.585)
As (0.168, 0.168, 0.080)
As (0.499, 0.499, 0.258)
As (0.501, 0.501, 0.742)
As (0.832, 0.832, 0.920)
As (0.837, 0.837, 0.415)

Results
Symmetry   No. 12
ΔH_f (0 K)   -1.49 eV/atom

Density functional theory data (PBE) for a relaxed structure of NiPd.

Cell: 3.850 3.850 3.850 Å, 60.00 60.00 60.00°
Fractional coordinates of all 2 atoms:
Ni (0.000, 0.000, 0.000)
Pd (0.750, 0.750, 0.750)

Results
Symmetry   No. 216
ΔH_f (0 K)   1.09 eV/atom

Density functional theory data (PBE) for a relaxed structure of Mg3CdAg.

Cell: 6.787 6.787 6.787 Å, 90.00 90.00 90.00°
Fractional coordinates of all 15 atoms:
Mg (0.000, 0.000, 0.000)
Mg (0.270, 0.270, 0.270)
Mg (0.270, 0.270, 0.730)
Mg (0.270, 0.730, 0.270)
Mg (0.270, 0.730, 0.730)
Mg (0.730, 0.270, 0.270)
Mg (0.730, 0.270, 0.730)
Mg (0.730, 0.730, 0.270)
Mg (0.730, 0.730, 0.730)
Cd (0.000, 0.000, 0.500)
Cd (0.000, 0.500, 0.000)
Cd (0.500, 0.000, 0.000)
Ag (0.000, 0.500, 0.500)
Ag (0.500, 0.000, 0.500)
Ag (0.500, 0.500, 0.000)

Results
Symmetry   No. 221
ΔH_f (0 K)   -0.13 eV/atom
Polymorph energy (0 for the lowest one)   0.00 eV/f.u.

Density functional theory data (PBE) for a relaxed structure of BaNaLi4.

Cell: 6.343 6.343 6.343 Å, 60.00 60.00 60.00°
Fractional coordinates of all 6 atoms:
Ba (0.000, 0.000, 0.000)
Na (0.250, 0.250, 0.250)
Li (0.132, 0.623, 0.623)
Li (0.623, 0.132, 0.623)
Li (0.623, 0.623, 0.132)
Li (0.623, 0.623, 0.623)

Results
Symmetry   No. 216
ΔH_f (0 K)   0.03 eV/atom

Density functional theory data (PBE) for a relaxed structure of BaRh3Pb.

Cell: 5.088 5.088 5.088 Å, 90.00 90.00 90.00°
Fractional coordinates of all 5 atoms:
Ba (0.000, 0.000, 0.000)
Rh (0.000, 0.500, 0.500)
Rh (0.500, 0.000, 0.500)
Rh (0.500, 0.500, 0.000)
Pb (0.500, 0.500, 0.500)

Results
Symmetry   No. 221
ΔH_f (0 K)   0.51 eV/atom
Polymorph energy (0 for the lowest one)   0.00 eV/f.u.

Density functional theory data (PBE) for a relaxed structure of Pm3Nd4Tl2.

Cell: 9.989 9.989 6.248 Å, 95.07 95.07 71.84°
Fractional coordinates of all 18 atoms:
Pm (0.112, 0.888, 0.750)
Pm (0.192, 0.468, 0.922)
Pm (0.468, 0.192, 0.422)
Pm (0.532, 0.808, 0.578)
Pm (0.808, 0.532, 0.078)
Pm (0.888, 0.112, 0.250)
Nd (0.092, 0.322, 0.402)
Nd (0.307, 0.567, 0.463)
Nd (0.322, 0.092, 0.902)
Nd (0.433, 0.693, 0.037)
Nd (0.567, 0.307, 0.963)
Nd (0.678, 0.908, 0.098)
Nd (0.693, 0.433, 0.537)
Nd (0.908, 0.678, 0.598)
Tl (0.029, 0.760, 0.174)
Tl (0.240, 0.971, 0.326)
Tl (0.760, 0.029, 0.674)
Tl (0.971, 0.240, 0.826)

Results
Symmetry   No. 15
ΔH_f (0 K)   -0.09 eV/atom
Polymorph energy (0 for the lowest one)   0.24 eV/f.u.

Density functional theory data (PBE) for a relaxed structure of Ce14PuIn.

Cell: 9.416 6.665 6.665 Å, 89.99 90.00 90.00°
Fractional coordinates of all 16 atoms:
Ce (0.000, 0.000, 0.000)
Ce (0.000, 0.499, 0.499)
Ce (0.000, 0.500, 0.999)
Ce (0.000, 0.999, 0.500)
Ce (0.251, 0.246, 0.246)
Ce (0.251, 0.246, 0.753)
Ce (0.251, 0.753, 0.246)
Ce (0.251, 0.753, 0.753)
Ce (0.500, 0.000, 0.499)
Ce (0.500, 0.499, 0.000)
Ce (0.749, 0.246, 0.246)
Ce (0.749, 0.246, 0.753)
Ce (0.749, 0.753, 0.246)
Ce (0.749, 0.753, 0.753)
Pu (0.500, 0.500, 0.500)
In (0.500, 0.999, 0.999)

Results
Symmetry   No. 38
ΔH_f (0 K)   -0.03 eV/atom

Density functional theory data (PBE) for a relaxed structure of HoTeCl.

Cell: 7.210 4.208 7.517 Å, 90.00 98.28 90.00°
Fractional coordinates of all 6 atoms:
Ho (0.239, 0.250, 0.010)
Ho (0.761, 0.750, 0.990)
Te (0.116, 0.750, 0.251)
Te (0.884, 0.250, 0.749)
Cl (0.390, 0.750, 0.826)
Cl (0.610, 0.250, 0.174)

Results
Symmetry   No. 11
ΔE_f (raw)   -1718.0 meV per atom

Density functional theory data (PBE) for a relaxed structure of Ba2BiSe.

Cell: 9.142 9.142 9.142 Å, 29.77 29.77 29.77°
Fractional coordinates of all 4 atoms:
Ba (0.240, 0.240, 0.240)
Ba (0.760, 0.760, 0.760)
Bi (0.000, 0.000, 0.000)
Se (0.500, 0.500, 0.500)

Results
Symmetry   No. 166
Polymorph energy (0 for the lowest one)   0.11 eV/f.u.
ΔE_f (raw)   -1333.6 meV per atom

Density functional theory data (PBE) for a relaxed structure of K2RbH.

Cell: 12.189 12.189 12.189 Å, 20.45 20.45 20.45°
Fractional coordinates of all 4 atoms:
K (0.121, 0.121, 0.121)
K (0.879, 0.879, 0.879)
Rb (0.000, 0.000, 0.000)
H (0.500, 0.500, 0.500)

Results
Symmetry   No. 166
Polymorph energy (0 for the lowest one)   0.09 eV/f.u.

Density functional theory data (PBE) for a relaxed structure of ScSn2Ru.

Cell: 8.864 8.864 8.864 Å, 150.83 150.83 41.73°
Fractional coordinates of all 8 atoms:
Sc (0.143, 0.143, 0.000)
Sc (0.857, 0.857, 0.000)
Sn (0.000, 0.500, 0.500)
Sn (0.344, 0.344, 0.000)
Sn (0.500, 0.000, 0.500)
Sn (0.656, 0.656, 0.000)
Ru (0.250, 0.750, 0.500)
Ru (0.750, 0.250, 0.500)

Results
Symmetry   No. 139
ΔH_f (0 K)   -0.42 eV/atom

Density functional theory data (PBE) for a relaxed structure of PdRu2S.

Cell: 5.490 5.490 5.490 Å, 101.93 101.93 125.91°
Fractional coordinates of all 8 atoms:
Pd (0.000, 0.000, 0.000)
Pd (0.750, 0.250, 0.500)
Ru (0.191, 0.625, 0.066)
Ru (0.375, 0.441, 0.566)
Ru (0.559, 0.125, 0.934)
Ru (0.875, 0.809, 0.434)
S (0.250, 0.750, 0.500)
S (0.500, 0.500, 0.000)

Results
Symmetry   No. 122
ΔE_f (raw)   173.2 meV per atom

Total magnetic moment list, top to bottom, in μB/atom: 0.000 0.000 0.000 0.000 0.853 0.285 0.208 0.000 0.668 0.000 0.126 0.116 0.000 0.205 0.000 0.000 0.000 0.000 0.000
VASP energy list, top to bottom, in eV/atom: -4.586 -3.107 -4.905 -3.221 -4.856 -8.761 -6.454 -6.625 -4.395 -1.842 -1.782 -5.023 -4.316 -6.288 -4.907 -4.136 -1.620 -6.322 -6.795